## Ba2Li5Zn12 (PBE-GGA)

Data for Ba2Li5Zn12 after structural relaxation.

It has space group R-3m (No. 166, hexagonal axes), with a = 9.5373 Å, b = 9.5373 Å, c = 13.5443 Å, α = 90.00°, β = 90.00° and γ = 120.00°. The inequivalent atoms are Ba at (0.0000, 0.0000, 0.1528), Li at (0.0000, 0.0000, 0.4048), Li at (0.0000, 0.5000, 0.0000), Zn at (0.0000, 0.2822, 0.5000) and Zn at (0.0081, 0.5040, 0.3445).

The formation enthalpy at 0 K is -0.156 eV per atom. The value obtained for the energy is -1.67 eV/atom.